DFT (PBE) results for a geometry-optimized K12Rb3Ca structure.

The structure belongs to space group P4/mmm (No. 123); the cell edges are 6.8945, 6.8945 and 24.5646 Å and the angles 90.00°, 90.00° and 90.00°. Symmetry generates all atoms from K at (0.0000, 0.0000, 0.0000), K at (0.0000, 0.0000, 0.2399), K at (0.0000, 0.0000, 0.5000), K at (0.0000, 0.5000, 0.1092), K at (0.0000, 0.5000, 0.3687), Rb at (0.5000, 0.5000, 0.2361), Rb at (0.5000, 0.5000, 0.5000) and Ca at (0.5000, 0.5000, 0.0000).

The calculated total energy is -17.4 eV for the cell shown. The value obtained for the formation energy is 0.041 eV per atom. As for the spin magnetization: 0.0 μB/cell.

=====

DFT (PBE) results for a geometry-optimized KRbCa2Ru structure.

The structure belongs to space group P4/mmm (No. 123); the cell edges are 5.5988, 5.5988 and 6.7136 Å and the angles 90.00°, 90.00° and 90.00°. Symmetry generates all atoms from K at (0.0000, 0.0000, 0.0000), Rb at (0.5000, 0.5000, 0.0000), Ca at (0.0000, 0.5000, 0.5000) and Ru at (0.5000, 0.5000, 0.5000).

The calculated total energy is -13.2 eV for the cell shown. The value obtained for the formation energy is 0.436 eV per atom. As for the spin magnetization: 0.4 μB/cell.

=====

DFT (PBE) results for a geometry-optimized KRb2CaSb structure.

The structure belongs to space group P4/mmm (No. 123); the cell edges are 6.5844, 6.5844 and 6.2545 Å and the angles 90.00°, 90.00° and 90.00°. Symmetry generates all atoms from K at (0.0000, 0.0000, 0.0000), Rb at (0.0000, 0.5000, 0.0000), Ca at (0.5000, 0.5000, 0.5000) and Sb at (0.0000, 0.0000, 0.5000).

The calculated total energy is -7.9 eV for the cell shown. The value obtained for the raw formation energy is 256.8 meV/atom. As for the spin magnetization: 0.0 μB/cell.

=====

DFT (PBE) results for a geometry-optimized K4Rb2Sr2Ca structure.

The structure belongs to space group P3m1 (No. 156); the cell edges are 4.4462, 4.4462 and 34.9324 Å and the angles 90.00°, 90.00° and 120.00°. Symmetry generates all atoms from K at (0.0000, 0.0000, 0.0000), K at (0.0000, 0.0000, 0.2376), K at (0.3333, 0.6667, 0.6493), K at (0.3333, 0.6667, 0.8875), Rb at (0.0000, 0.0000, 0.7686), Rb at (0.3333, 0.6667, 0.1188), Sr at (0.0000, 0.0000, 0.3585), Sr at (0.0000, 0.0000, 0.5412) and Ca at (0.3333, 0.6667, 0.4496).

The calculated total energy is -11.0 eV for the cell shown. The value obtained for the formation energy is 0.073 eV per atom. As for the spin magnetization: 0.0 μB/cell.

=====

DFT (PBE) results for a geometry-optimized KRbSrCa structure.

The structure belongs to space group F-43m (No. 216); the cell edges are 9.9309, 9.9309 and 9.9309 Å and the angles 90.00°, 90.00° and 90.00°. Symmetry generates all atoms from K at (0.0000, 0.0000, 0.0000), Rb at (0.2500, 0.2500, 0.2500), Sr at (0.2500, 0.2500, 0.7500) and Ca at (0.0000, 0.0000, 0.5000).

The calculated total energy is -20.0 eV for the cell shown. The value obtained for the formation energy is 0.186 eV per atom. As for the spin magnetization: 0.0 μB/cell.

=====

DFT (PBE) results for a geometry-optimized KRb2Sr4Ca2 structure.

The structure belongs to space group P3m1 (No. 156); the cell edges are 4.2891, 4.2891 and 33.2361 Å and the angles 90.00°, 90.00° and 120.00°. Symmetry generates all atoms from K at (0.0000, 0.0000, 0.0000), Rb at (0.6667, 0.3333, 0.1259), Rb at (0.6667, 0.3333, 0.8741), Sr at (0.0000, 0.0000, 0.2456), Sr at (0.0000, 0.0000, 0.4425), Sr at (0.6667, 0.3333, 0.5479), Sr at (0.6667, 0.3333, 0.7443), Ca at (0.0000, 0.0000, 0.6470) and Ca at (0.6667, 0.3333, 0.3434).

The calculated total energy is -13.1 eV for the cell shown. The value obtained for the formation energy is 0.077 eV per atom. As for the spin magnetization: 0.0 μB/cell.

=====

DFT (PBE) results for a geometry-optimized KRb2CaTc structure.

The structure belongs to space group P4/mmm (No. 123); the cell edges are 7.6456, 7.6456 and 7.3927 Å and the angles 90.00°, 90.00° and 90.00°. Symmetry generates all atoms from K at (0.0000, 0.0000, 0.0000), Rb at (0.0000, 0.5000, 0.5000), Ca at (0.0000, 0.0000, 0.5000) and Tc at (0.5000, 0.5000, 0.0000).

The calculated total energy is -7.6 eV for the cell shown. The value obtained for the formation energy is 1.570 eV per atom. As for the spin magnetization: 4.1 μB/cell.

=====

DFT (PBE) results for a geometry-optimized KRbCa2Zr structure.

The structure belongs to space group P4/mmm (No. 123); the cell edges are 6.3408, 6.3408 and 5.8889 Å and the angles 90.00°, 90.00° and 90.00°. Symmetry generates all atoms from K at (0.0000, 0.0000, 0.0000), Rb at (0.0000, 0.0000, 0.5000), Ca at (0.0000, 0.5000, 0.5000) and Zr at (0.5000, 0.5000, 0.0000).

The calculated total energy is -7.6 eV for the cell shown. The value obtained for the formation energy is 1.398 eV per atom. As for the spin magnetization: 3.1 μB/cell.

=====

DFT (PBE) results for a geometry-optimized KCaRe2 structure.

The structure belongs to space group C2/m (No. 12); the cell edges are 11.6696, 3.3515 and 4.2604 Å and the angles 90.00°, 111.12° and 90.00°. Symmetry generates all atoms from K at (0.0000, 0.0000, 0.0000), Ca at (0.0000, 0.5000, 0.5000) and Re at (0.2471, 0.0000, 0.7453).

The calculated total energy is -46.4 eV for the cell shown. The value obtained for the formation energy is 1.194 eV per atom. The excess energy over the best structure of this formula in the dataset is 602 meV per atom. As for the spin magnetization: 0.0 μB/cell.

=====

DFT (PBE) results for a geometry-optimized K2CaRe structure.

The structure belongs to space group P4mm (No. 99); the cell edges are 3.2352, 3.2352 and 12.7569 Å and the angles 90.00°, 90.00° and 90.00°. Symmetry generates all atoms from K at (0.0000, 0.0000, 0.0000), K at (0.5000, 0.5000, 0.3333), Ca at (0.5000, 0.5000, 0.6958) and Re at (0.0000, 0.0000, 0.5388).

The calculated total energy is -12.5 eV for the cell shown. The value obtained for the formation energy is 1.046 eV per atom. The excess energy over the best structure of this formula in the dataset is 27 meV per atom. As for the spin magnetization: 0.3 μB/cell.

=====

DFT (PBE) results for a geometry-optimized KCaRe2 structure.

The structure belongs to space group Imm2 (No. 44); the cell edges are 3.6503, 5.4986 and 10.5288 Å and the angles 90.00°, 90.00° and 90.00°. Symmetry generates all atoms from K at (0.0000, 0.0000, 0.0000), Ca at (0.0000, 0.5000, 0.2168), Re at (0.0000, 0.0000, 0.4121) and Re at (0.0000, 0.5000, 0.7734).

The calculated total energy is -48.4 eV for the cell shown. The value obtained for the formation energy is 0.944 eV per atom. The excess energy over the best structure of this formula in the dataset is 351 meV per atom. As for the spin magnetization: 0.0 μB/cell.

=====

DFT (PBE) results for a geometry-optimized KCaRe2 structure.

The structure belongs to space group I-42d (No. 122); the cell edges are 4.0084, 4.0084 and 22.1756 Å and the angles 90.00°, 90.00° and 90.00°. Symmetry generates all atoms from K at (0.0000, 0.0000, 0.0000), Ca at (0.0000, 0.0000, 0.5000) and Re at (0.1819, 0.7500, 0.6250).

The calculated total energy is -89.4 eV for the cell shown. The value obtained for the formation energy is 1.409 eV per atom. The excess energy over the best structure of this formula in the dataset is 816 meV per atom. As for the spin magnetization: 0.0 μB/cell.

=====

| no. | density of states at the Fermi level (states/eV/cell) |
| --- | --- |
| 1 | 12.57 |
| 2 | 4.75 |
| 3 | 1.46 |
| 4 | 9.82 |
| 5 | 19.40 |
| 6 | 8.82 |
| 7 | 34.70 |
| 8 | 10.80 |
| 9 | 6.34 |
| 10 | 4.20 |
| 11 | 9.34 |
| 12 | 16.53 |